No. 1
! La4HoTm2, relaxed, DFT PBE-GGA; values from VASP
&SYSTEM
  ibrav = 0, nat = 14, ntyp = 3
/
ATOMIC_SPECIES
La 138.91 La.upf
Ho 164.93 Ho.upf
Tm 168.93 Tm.upf
CELL_PARAMETERS angstrom
-12.074 2.810 -2.817
9.214 -8.572 1.801
-0.007 2.563 6.351
ATOMIC_POSITIONS angstrom
La -1.396 0.332 0.273
La 4.473 -4.677 3.058
La -6.989 2.730 3.748
La -1.262 -3.208 0.408
La 0.872 0.399 3.942
La -2.079 -1.491 3.407
La -7.876 1.636 0.664
La 5.035 -3.988 6.641
Ho -4.212 -1.706 -1.127
Ho 1.103 -3.268 3.203
Tm 2.005 -2.039 6.324
Tm 7.203 -6.194 4.818
Tm -4.693 0.263 1.695
Tm -10.139 1.798 -2.120
! - relative energy among the computed polymorphs (eV per formula unit) = 0.000
! - DFT formation energy (eV/atom) = 0.07
! - SG = No. 43
! - Fermi-level density of states (states/eV per cell) = 23.36
! - DFT total energy (eV/atom) = -4.67

No. 2
! La2Ho6Tm, relaxed, DFT PBE-GGA; values from VASP
&SYSTEM
  ibrav = 0, nat = 9, ntyp = 3
/
ATOMIC_SPECIES
Ho 164.93 Ho.upf
La 138.91 La.upf
Tm 168.93 Tm.upf
CELL_PARAMETERS angstrom
3.116 0.536 1.460
2.951 9.428 6.852
2.081 1.013 11.797
ATOMIC_POSITIONS angstrom
Ho 4.222 6.922 9.212
Ho 6.256 10.211 11.964
Ho 3.926 4.055 10.897
Ho 2.475 6.408 4.829
Ho 1.892 0.766 8.145
Ho 5.672 4.569 15.280
La 3.754 3.837 7.189
La 4.394 7.139 12.920
Tm 0.000 0.000 0.000
! - relative energy among the computed polymorphs (eV per formula unit) = 0.053
! - DFT formation energy (eV/atom) = 0.07
! - SG = No. 191
! - Fermi-level density of states (states/eV per cell) = 14.61
! - DFT total energy (eV/atom) = -4.57